This record from Alexandria via LeMat-Bulk describes a relaxed LuZrTcRh crystal. The functional is GGA-PBE.

Cell lengths 4.692, 4.692, 4.692 Å; angles 60.00, 60.00, 60.00 degrees
Positions (direct):
Lu (0.000, 0.000, 0.000)
Zr (0.500, 0.500, 0.500)
Tc (0.750, 0.750, 0.750)
Rh (0.250, 0.250, 0.250)

Summary:
The calculation puts the density at 10.62 g/cm3. For the formation energy from the elements, the calculation gives -579 meV/atom. For the density of states at the Fermi level, the calculation gives 2.6 states/eV/cell.

***

This record from Alexandria via LeMat-Bulk describes a relaxed VFe2Au2 crystal. The functional is GGA-PBE.

Cell lengths 6.178, 6.178, 3.957 Å; angles 90.00, 90.00, 90.00 degrees
Positions (direct):
V (0.000, 0.000, 0.000)
V (0.500, 0.500, 0.000)
Fe (0.133, 0.367, 0.000)
Fe (0.367, 0.867, 0.000)
Fe (0.633, 0.133, 0.000)
Fe (0.867, 0.633, 0.000)
Au (0.169, 0.669, 0.500)
Au (0.331, 0.169, 0.500)
Au (0.669, 0.831, 0.500)
Au (0.831, 0.331, 0.500)

Summary:
The calculation puts the density at 12.24 g/cm3. For the formation energy from the elements, the calculation gives 231 meV/atom. For the density of states at the Fermi level, the calculation gives 8.2 states/eV/cell.

***

This record from Alexandria via LeMat-Bulk describes a relaxed Cr2CdNi crystal. The functional is GGA-PBE.

Cell lengths 2.601, 2.601, 7.972 Å; angles 90.00, 90.00, 90.00 degrees
Positions (direct):
Cr (0.000, 0.000, 0.217)
Cr (0.000, 0.000, 0.783)
Cd (0.500, 0.500, 0.500)
Ni (0.500, 0.500, 0.000)

Summary:
The calculation puts the density at 8.47 g/cm3. For the formation energy from the elements, the calculation gives 446 meV/atom. For the density of states at the Fermi level, the calculation gives 4.8 states/eV/cell.

***

This record from Alexandria via LeMat-Bulk describes a relaxed Er4TeAuS2 crystal. The functional is GGA-PBE.

Cell lengths 6.904, 3.910, 7.322 Å; angles 90.00, 107.41, 90.00 degrees
Positions (direct):
Er (0.227, 0.000, 0.216)
Er (0.247, 0.500, 0.772)
Er (0.753, 0.500, 0.228)
Er (0.773, 0.000, 0.784)
Te (0.500, 0.500, 0.500)
Au (0.000, 0.000, 0.500)
S (0.000, 0.500, 0.000)
S (0.500, 0.000, 0.000)

Summary:
The calculation puts the density at 9.31 g/cm3. The energy relative to the elements, uncorrected comes out at -1456 meV/atom. For the density of states at the Fermi level, the calculation gives 3.7 states/eV/cell.